# 1
# Ba3Zn2OsO8

A relaxed structure of Ba3Zn2OsO8 (PBE, Alexandria).

Values from the calculation:
DFT total energy = -84.5 eV/f.u.
formation energy from raw total energies = -1804 meV per atom

a = 5.7949 Å, b = 5.7949 Å, c = 7.6199 Å
α = 90.00°, β = 90.00°, γ = 120.00°
Space group P-3m1 (No. 164)
Inequivalent atoms, fractional coordinates:
Ba  0.0000  0.0000  0.0000
Ba  0.3333  0.6667  0.6567
Zn  0.3333  0.6667  0.2123
Os  0.0000  0.0000  0.5000
O  0.1568  0.3136  0.3480
O  0.3333  0.6667  0.9728

# 2
# CdTc2Mo

A relaxed structure of CdTc2Mo (PBE, Alexandria).

Values from the calculation:
DFT total energy = -31.3 eV/f.u.
E_form = 0.29 eV per atom

a = 3.1088 Å, b = 3.1088 Å, c = 6.8400 Å
α = 90.00°, β = 90.00°, γ = 90.00°
Space group P4/mmm (No. 123)
Inequivalent atoms, fractional coordinates:
Cd  0.0000  0.0000  0.0000
Tc  0.5000  0.5000  0.2827
Mo  0.0000  0.0000  0.5000

# 3
# Ce2Si4Ni3Os

A relaxed structure of Ce2Si4Ni3Os (PBE, Alexandria).

Values from the calculation:
DFT total energy = -70.1 eV/f.u.
formation energy from raw total energies = -797 meV per atom

a = 4.0290 Å, b = 4.0290 Å, c = 9.6961 Å
α = 90.00°, β = 90.00°, γ = 90.00°
Space group P-4m2 (No. 115)
Inequivalent atoms, fractional coordinates:
Ce  0.0000  0.5000  0.2445
Si  0.0000  0.0000  0.0000
Si  0.0000  0.5000  0.6352
Si  0.5000  0.5000  0.0000
Ni  0.0000  0.5000  0.8788
Ni  0.5000  0.5000  0.5000
Os  0.0000  0.0000  0.5000